(1)
Al2PbSeCl | PBE | optimized geometry

Structure (CIF):
```
data_Al2PbSeCl
_chemical_formula_sum 'Al2 Pb1 Se1 Cl1'
_cell_length_a 5.046
_cell_length_b 5.046
_cell_length_c 5.339
_cell_angle_alpha 90.00
_cell_angle_beta 90.00
_cell_angle_gamma 90.00
_space_group_name_H-M_alt 'P 4/m m m'
_space_group_IT_number 123
_space_group_name_Hall '-P 4 2'
loop_
_atom_site_label
_atom_site_type_symbol
_atom_site_fract_x
_atom_site_fract_y
_atom_site_fract_z
Al1 Al 0.000 0.500 0.000
Pb1 Pb 0.000 0.000 0.500
Se1 Se 0.500 0.500 0.500
Cl1 Cl 0.500 0.500 0.000
```

Results
DFT total energy: -2.90 eV per atom
raw formation energy: 2.04 eV/f.u.



(2)
AlRu | PBE | optimized geometry

Structure (CIF):
```
data_AlRu
_chemical_formula_sum 'Al8 Ru8'
_cell_length_a 7.666
_cell_length_b 7.666
_cell_length_c 4.301
_cell_angle_alpha 90.00
_cell_angle_beta 90.00
_cell_angle_gamma 90.00
_space_group_name_H-M_alt 'I 4/m m m'
_space_group_IT_number 139
_space_group_name_Hall '-I 4 2'
loop_
_atom_site_label
_atom_site_type_symbol
_atom_site_fract_x
_atom_site_fract_y
_atom_site_fract_z
Al1 Al 0.000 0.267 0.000
Ru1 Ru 0.164 0.164 0.500
```

Results
formation energy: -5.08 kcal/mol of atoms
DFT total energy: -6.73 eV per atom



(3)
Re2MoAu | PBE | optimized geometry

Structure (CIF):
```
data_Re2MoAu
_chemical_formula_sum 'Re2 Mo1 Au1'
_cell_length_a 2.837
_cell_length_b 3.993
_cell_length_c 5.643
_cell_angle_alpha 90.00
_cell_angle_beta 90.00
_cell_angle_gamma 90.00
_space_group_name_H-M_alt 'P m m m'
_space_group_IT_number 47
_space_group_name_Hall '-P 2 2'
loop_
_atom_site_label
_atom_site_type_symbol
_atom_site_fract_x
_atom_site_fract_y
_atom_site_fract_z
Re1 Re 0.000 0.000 0.222
Mo1 Mo 0.500 0.500 0.000
Au1 Au 0.500 0.500 0.500
```

Results
formation energy: 6.99 kcal/mol of atoms
DFT total energy: -9.45 eV per atom



(4)
LiAcBiO4 | PBE | optimized geometry

Structure (CIF):
```
data_LiAcBiO4
_chemical_formula_sum 'Li2 Ac2 Bi2 O8'
_cell_length_a 5.686
_cell_length_b 5.686
_cell_length_c 7.097
_cell_angle_alpha 90.00
_cell_angle_beta 90.00
_cell_angle_gamma 90.00
_space_group_name_H-M_alt 'I -4'
_space_group_IT_number 82
_space_group_name_Hall 'I -4'
loop_
_atom_site_label
_atom_site_type_symbol
_atom_site_fract_x
_atom_site_fract_y
_atom_site_fract_z
Li1 Li 0.000 0.000 0.000
Ac1 Ac 0.000 0.500 0.750
Bi1 Bi 0.000 0.500 0.250
O1 O 0.203 0.257 0.083
```

Results
DFT total energy: -6.18 eV per atom
raw formation energy: -13.51 eV/f.u.



(5)
GdInSn | PBE | optimized geometry

Structure (CIF):
```
data_GdInSn
_chemical_formula_sum 'Gd1 In1 Sn1'
_cell_length_a 5.1894
_cell_length_b 5.1894
_cell_length_c 3.3992
_cell_angle_alpha 90.00
_cell_angle_beta 90.00
_cell_angle_gamma 120.00
_space_group_name_H-M_alt 'P -6 m 2'
_space_group_IT_number 187
_space_group_name_Hall 'P -6 2'
loop_
_atom_site_label
_atom_site_type_symbol
_atom_site_fract_x
_atom_site_fract_y
_atom_site_fract_z
Gd1 Gd 0.0000 0.0000 0.0000
In1 In 0.6667 0.3333 0.5000
Sn1 Sn 0.3333 0.6667 0.5000
```

Results
formation energy: -9.44 kcal/mol of atoms
DFT total energy: -7.35 eV per atom



(6)
KSnMo2C | PBE | optimized geometry

Structure (CIF):
```
data_KSnMo2C
_chemical_formula_sum 'K1 Sn1 Mo2 C1'
_cell_length_a 4.245
_cell_length_b 4.245
_cell_length_c 5.052
_cell_angle_alpha 90.00
_cell_angle_beta 90.00
_cell_angle_gamma 90.00
_space_group_name_H-M_alt 'P 4/m m m'
_space_group_IT_number 123
_space_group_name_Hall '-P 4 2'
loop_
_atom_site_label
_atom_site_type_symbol
_atom_site_fract_x
_atom_site_fract_y
_atom_site_fract_z
K1 K 0.000 0.000 0.000
Sn1 Sn 0.500 0.500 0.000
Mo1 Mo 0.000 0.500 0.500
C1 C 0.000 0.000 0.500
```

Results
formation energy: 19.42 kcal/mol of atoms
DFT total energy: -6.36 eV per atom



(7)
SrMg2HgAu4 | PBE | optimized geometry

Structure (CIF):
```
data_SrMg2HgAu4
_chemical_formula_sum 'Sr3 Mg6 Hg3 Au12'
_cell_length_a 4.6624
_cell_length_b 4.6624
_cell_length_c 28.7542
_cell_angle_alpha 90.00
_cell_angle_beta 90.00
_cell_angle_gamma 120.00
_space_group_name_H-M_alt 'R -3 m'
_space_group_IT_number 166
_space_group_name_Hall '-R 3 2"'
loop_
_atom_site_label
_atom_site_type_symbol
_atom_site_fract_x
_atom_site_fract_y
_atom_site_fract_z
Sr1 Sr 0.0000 0.0000 0.0000
Mg1 Mg 0.0000 0.0000 0.2348
Hg1 Hg 0.0000 0.0000 0.5000
Au1 Au 0.0000 0.0000 0.1184
Au2 Au 0.0000 0.0000 0.3987
```

Results
formation energy: -10.84 kcal/mol of atoms
DFT total energy: -2.76 eV per atom



(8)
Na3B2TeO6 | PBE | optimized geometry

Structure (CIF):
```
data_Na3B2TeO6
_chemical_formula_sum 'Na3 B2 Te1 O6'
_cell_length_a 5.2443
_cell_length_b 5.2443
_cell_length_c 6.6850
_cell_angle_alpha 90.00
_cell_angle_beta 90.00
_cell_angle_gamma 120.00
_space_group_name_H-M_alt 'P -3 m 1'
_space_group_IT_number 164
_space_group_name_Hall '-P 3 2"'
loop_
_atom_site_label
_atom_site_type_symbol
_atom_site_fract_x
_atom_site_fract_y
_atom_site_fract_z
Na1 Na 0.0000 0.0000 0.0000
Na2 Na 0.3333 0.6667 0.7777
B1 B 0.3333 0.6667 0.2576
Te1 Te 0.0000 0.0000 0.5000
O1 O 0.1805 0.3611 0.2525
```

Results
DFT total energy: -5.87 eV per atom
raw formation energy: -20.29 eV/f.u.